Compound: HoErRh
Source: the Alexandria database
Functional: PBE-GGA
Structure: optimized geometry

abc: 6.415 6.885 7.537
angles: 89.90 90.00 90.00
Atoms (fractional coordinates):
Ho1 0.741 0.923 0.610
Ho2 0.759 0.923 0.110
Ho3 0.259 0.077 0.390
Ho4 0.241 0.077 0.890
Er1 0.240 0.576 0.111
Er2 0.260 0.576 0.611
Er3 0.760 0.424 0.889
Er4 0.740 0.424 0.389
Rh1 0.501 0.251 0.649
Rh2 0.001 0.749 0.851
Rh3 0.499 0.749 0.351
Rh4 0.999 0.251 0.149

ΔE to the lowest computed polymorph in eV per atom: 0.095
ΔE_f in eV per atom: -0.5890
Space group: P2_1/c, No. 14
Electronic total energy in eV/cell: -73.04
Volume in Å³/cell: 332.9
Crystal system: monoclinic